1.
Density functional theory data (meta-GGA SCAN) for Au2S2Cl at its PBEsol-relaxed geometry.

## Properties
- ΔE_f (raw) (eV per formula unit) = 1.326
- SG = I4/mmm
- Fermi-level density of states (states/eV/atom) = 0.52

Unit cell a=5.307 b=5.307 c=5.307 alpha=126.73 beta=126.73 gamma=78.70
Atoms (fractional coordinates):
Au 0.250 0.750 0.500
Au 0.750 0.250 0.500
S 0.126 0.126 0.000
S 0.874 0.874 0.000
Cl 0.500 0.500 0.000

***

2.
Density functional theory data (meta-GGA SCAN) for TlRe2Os at its PBEsol-relaxed geometry.

## Properties
- SG = P4mm
- Fermi-level density of states (states/eV/atom) = 0.85
- formation energy from the elements (meV/atom) = 611

Unit cell a=2.838 b=2.838 c=7.962 alpha=90.00 beta=90.00 gamma=90.00
Atoms (fractional coordinates):
Tl 0.000 0.000 0.000
Re 0.000 0.000 0.494
Re 0.500 0.500 0.720
Os 0.500 0.500 0.275

***

3.
Density functional theory data (meta-GGA SCAN) for RbTeRhN2 at its PBEsol-relaxed geometry.

## Properties
- ΔE_f (raw) (eV per formula unit) = 12.511
- SG = P4/mmm
- Fermi-level density of states (states/eV/atom) = 0.97

Unit cell a=4.723 b=4.723 c=6.916 alpha=90.00 beta=90.00 gamma=90.00
Atoms (fractional coordinates):
Rb 0.000 0.000 0.000
Te 0.000 0.000 0.500
Rh 0.500 0.500 0.500
N 0.000 0.500 0.000
N 0.500 0.000 0.000

***

4.
Density functional theory data (meta-GGA SCAN) for ScAgF3 at its PBEsol-relaxed geometry.

## Properties
- ΔE_f (raw) (eV per formula unit) = -7.389
- SG = Pm-3m
- Fermi-level density of states (states/eV/atom) = 1.03

Unit cell a=4.338 b=4.338 c=4.338 alpha=90.00 beta=90.00 gamma=90.00
Atoms (fractional coordinates):
Sc 0.000 0.000 0.000
Ag 0.500 0.500 0.500
F 0.000 0.500 0.500
F 0.500 0.000 0.500
F 0.500 0.500 0.000

***

5.
Density functional theory data (meta-GGA SCAN) for KSiTc3 at its PBEsol-relaxed geometry.

## Properties
- ΔE_f (raw) (eV per formula unit) = 16.590
- SG = Pm-3m
- Fermi-level density of states (states/eV/atom) = 0.85

Unit cell a=4.386 b=4.386 c=4.386 alpha=90.00 beta=90.00 gamma=90.00
Atoms (fractional coordinates):
K 0.000 0.000 0.000
Si 0.500 0.500 0.500
Tc 0.000 0.000 0.500
Tc 0.000 0.500 0.000
Tc 0.500 0.000 0.000

***

6.
Density functional theory data (meta-GGA SCAN) for AgRuRh2 at its PBEsol-relaxed geometry.

## Properties
- SG = R-3m
- Fermi-level density of states (states/eV/atom) = 1.07
- formation energy from the elements (meV/atom) = 127

Unit cell a=9.050 b=9.050 c=9.050 alpha=17.18 beta=17.18 gamma=17.18
Atoms (fractional coordinates):
Ag 0.000 0.000 0.000
Ru 0.500 0.500 0.500
Rh 0.245 0.245 0.245
Rh 0.755 0.755 0.755

***

7.
Density functional theory data (meta-GGA SCAN) for Cu3BiSe2ClO8 at its PBEsol-relaxed geometry.

## Properties
- ΔE_f (raw) (eV per formula unit) = -14.263
- SG = Pmmn

Unit cell a=6.305 b=9.638 c=7.155 alpha=90.00 beta=90.00 gamma=90.00
Atoms (fractional coordinates):
Cu 0.000 0.000 0.000
Cu 0.000 0.500 0.000
Cu 0.250 0.250 0.207
Cu 0.500 0.000 0.000
Cu 0.500 0.500 0.000
Cu 0.750 0.750 0.793
Bi 0.250 0.250 0.747
Bi 0.750 0.750 0.253
Se 0.250 0.557 0.397
Se 0.250 0.943 0.397
Se 0.750 0.057 0.603
Se 0.750 0.443 0.603
Cl 0.250 0.750 0.850
Cl 0.750 0.250 0.150
O 0.037 0.583 0.248
O 0.037 0.917 0.248
O 0.250 0.113 0.010
O 0.250 0.120 0.415
O 0.250 0.380 0.415
O 0.250 0.387 0.010
O 0.463 0.583 0.248
O 0.463 0.917 0.248
O 0.537 0.083 0.752
O 0.537 0.417 0.752
O 0.750 0.613 0.990
O 0.750 0.620 0.585
O 0.750 0.880 0.585
O 0.750 0.887 0.990
O 0.963 0.083 0.752
O 0.963 0.417 0.752

***

8.
Density functional theory data (meta-GGA SCAN) for Ta2PdF at its PBEsol-relaxed geometry.

## Properties
- ΔE_f (raw) (eV per formula unit) = -1.267
- SG = Fm-3m
- Fermi-level density of states (states/eV/atom) = 0.93

Unit cell a=4.383 b=4.383 c=4.383 alpha=60.00 beta=60.00 gamma=60.00
Atoms (fractional coordinates):
Ta 0.250 0.250 0.250
Ta 0.750 0.750 0.750
Pd 0.000 0.000 0.000
F 0.500 0.500 0.500

***

9.
Density functional theory data (meta-GGA SCAN) for CoSbTe2As at its PBEsol-relaxed geometry.

## Properties
- ΔE_f (raw) (eV per formula unit) = 5.445
- SG = P4/mmm
- Fermi-level density of states (states/eV/atom) = 1.01

Unit cell a=5.243 b=5.243 c=5.320 alpha=90.00 beta=90.00 gamma=90.00
Atoms (fractional coordinates):
Co 0.000 0.000 0.000
Sb 0.500 0.500 0.000
Te 0.000 0.500 0.500
Te 0.500 0.000 0.500
As 0.500 0.500 0.500

***

10.
Density functional theory data (meta-GGA SCAN) for YCdCl2 at its PBEsol-relaxed geometry.

## Properties
- ΔE_f (raw) (eV per formula unit) = -5.162
- SG = P4mm
- Fermi-level density of states (states/eV/atom) = 0.45

Unit cell a=3.445 b=3.445 c=7.658 alpha=90.00 beta=90.00 gamma=90.00
Atoms (fractional coordinates):
Y 0.000 0.000 0.000
Cd 0.500 0.500 0.288
Cl 0.000 0.000 0.477
Cl 0.500 0.500 0.819

***

11.
Density functional theory data (meta-GGA SCAN) for MgMnCuSi2 at its PBEsol-relaxed geometry.

## Properties
- ΔE_f (raw) (eV per formula unit) = 1.960
- SG = P4/mmm
- Fermi-level density of states (states/eV/atom) = 0.31

Unit cell a=4.254 b=4.254 c=4.648 alpha=90.00 beta=90.00 gamma=90.00
Atoms (fractional coordinates):
Mg 0.000 0.000 0.000
Mn 0.500 0.500 0.500
Cu 0.500 0.500 0.000
Si 0.000 0.500 0.500
Si 0.500 0.000 0.500

***

12.
Density functional theory data (meta-GGA SCAN) for Se2Br at its PBEsol-relaxed geometry.

## Properties
- ΔE_f (raw) (eV per formula unit) = -0.175
- SG = C2/m

Unit cell a=6.787 b=6.787 c=7.579 alpha=111.15 beta=111.15 gamma=31.01
Atoms (fractional coordinates):
Se 0.047 0.047 0.174
Se 0.435 0.435 0.246
Se 0.565 0.565 0.754
Se 0.953 0.953 0.826
Br 0.184 0.184 0.645
Br 0.816 0.816 0.355

***

13.
Density functional theory data (meta-GGA SCAN) for BaLiHf2 at its PBEsol-relaxed geometry.

## Properties
- SG = Fm-3m
- Fermi-level density of states (states/eV/atom) = 1.63
- formation energy from the elements (meV/atom) = 1056

Unit cell a=5.066 b=5.066 c=5.066 alpha=60.00 beta=60.00 gamma=60.00
Atoms (fractional coordinates):
Ba 0.000 0.000 0.000
Li 0.500 0.500 0.500
Hf 0.250 0.250 0.250
Hf 0.750 0.750 0.750

***

14.
Density functional theory data (meta-GGA SCAN) for AlSiTe2 at its PBEsol-relaxed geometry.

## Properties
- ΔE_f (raw) (eV per formula unit) = 1.197
- SG = Cmm2
- Fermi-level density of states (states/eV/atom) = 0.40

Unit cell a=3.407 b=3.407 c=9.067 alpha=90.00 beta=90.00 gamma=113.71
Atoms (fractional coordinates):
Al 0.000 0.000 0.000
Si 0.500 0.500 0.802
Te 0.000 0.000 0.589
Te 0.500 0.500 0.217

***

15.
Density functional theory data (meta-GGA SCAN) for Y2AlCu at its PBEsol-relaxed geometry.

## Properties
- SG = R3m
- Fermi-level density of states (states/eV/atom) = 0.72
- formation energy from the elements (meV/atom) = -250

Unit cell a=6.077 b=6.077 c=6.077 alpha=42.04 beta=42.04 gamma=42.04
Atoms (fractional coordinates):
Y 0.000 0.000 0.000
Y 0.195 0.195 0.195
Al 0.772 0.772 0.772
Cu 0.421 0.421 0.421

***

16.
Density functional theory data (meta-GGA SCAN) for MgZnRh2 at its PBEsol-relaxed geometry.

## Properties
- SG = Fm-3m
- Fermi-level density of states (states/eV/atom) = 0.57
- formation energy from the elements (meV/atom) = -467

Unit cell a=4.276 b=4.276 c=4.276 alpha=60.00 beta=60.00 gamma=60.00
Atoms (fractional coordinates):
Mg 0.000 0.000 0.000
Zn 0.500 0.500 0.500
Rh 0.250 0.250 0.250
Rh 0.750 0.750 0.750

***

17.
Density functional theory data (meta-GGA SCAN) for Li3CuN at its PBEsol-relaxed geometry.

## Properties
- ΔE_f (raw) (eV per formula unit) = 0.003
- SG = Pm-3m
- Fermi-level density of states (states/eV/atom) = 0.38

Unit cell a=3.862 b=3.862 c=3.862 alpha=90.00 beta=90.00 gamma=90.00
Atoms (fractional coordinates):
Li 0.000 0.000 0.500
Li 0.000 0.500 0.000
Li 0.500 0.000 0.000
Cu 0.500 0.500 0.500
N 0.000 0.000 0.000

***

18.
Density functional theory data (meta-GGA SCAN) for MgPb3 at its PBEsol-relaxed geometry.

## Properties
- SG = Imm2
- Fermi-level density of states (states/eV/atom) = 0.52
- formation energy from the elements (meV/atom) = -29

Unit cell a=6.515 b=6.515 c=6.515 alpha=149.27 beta=62.26 gamma=127.29
Atoms (fractional coordinates):
Mg 0.000 0.000 0.000
Pb 0.312 0.578 0.734
Pb 0.517 0.017 0.500
Pb 0.844 0.578 0.266

***

19.
Density functional theory data (meta-GGA SCAN) for PbI2N2 at its PBEsol-relaxed geometry.

## Properties
- ΔE_f (raw) (eV per formula unit) = -1.009
- SG = I4/mmm
- Fermi-level density of states (states/eV/atom) = 0.00

Unit cell a=5.636 b=5.636 c=5.636 alpha=118.44 beta=118.44 gamma=92.72
Atoms (fractional coordinates):
Pb 0.000 0.000 0.000
I 0.250 0.750 0.500
I 0.750 0.250 0.500
N 0.428 0.428 0.000
N 0.572 0.572 0.000

***

20.
Density functional theory data (meta-GGA SCAN) for Cs2BeCdRe at its PBEsol-relaxed geometry.

## Properties
- SG = P4/mmm
- Fermi-level density of states (states/eV/atom) = 0.61
- formation energy from the elements (meV/atom) = 1626

Unit cell a=6.361 b=6.361 c=4.671 alpha=90.00 beta=90.00 gamma=90.00
Atoms (fractional coordinates):
Cs 0.000 0.500 0.000
Cs 0.500 0.000 0.000
Be 0.000 0.000 0.000
Cd 0.000 0.000 0.500
Re 0.500 0.500 0.500

***

In eV per cell, the total energy values for the records above are, in order, -164.22 -283.99 -97.83 -63.61 -106.93 -133.23 -472.85 -170.75 -143.81 -79.37 -56.50 -119.58 -163.06 -91.07 -79.64 -87.90 -31.66 -232.43 -168.86 -173.36.